#1
VASP calculation (GGA-PBE) on a relaxed structure of EuZnRu.

Properties
- space-group type = I4mm, No. 107

a b c (Å): 3.4351 3.4351 10.1752
angles (deg): 90.00 90.00 90.00
Fractional coordinates of all 6 atoms:
Eu 0.0000 0.0000 0.0000
Eu 0.5000 0.5000 0.5000
Zn 0.0000 0.0000 0.2866
Zn 0.5000 0.5000 0.7866
Ru 0.0000 0.0000 0.7007
Ru 0.5000 0.5000 0.2007

#2
VASP calculation (GGA-PBE) on a relaxed structure of EuZnRu.

Properties
- space-group type = P-6m2, No. 187

a b c (Å): 4.3988 4.3988 3.7479
angles (deg): 90.00 90.00 120.00
Fractional coordinates of all 3 atoms:
Eu 0.0000 0.0000 0.0000
Zn 0.3333 0.6667 0.5000
Ru 0.6667 0.3333 0.5000

Stability summary: most stable #1, least stable #2.

#1
VASP calculation (GGA-PBE) on a relaxed structure of EuS.

Properties
- space-group type = Fm-3m, No. 225

a b c (Å): 5.8722 5.8722 5.8722
angles (deg): 90.00 90.00 90.00
Fractional coordinates of all 8 atoms:
Eu 0.0000 0.0000 0.0000
Eu 0.0000 0.5000 0.5000
Eu 0.5000 0.0000 0.5000
Eu 0.5000 0.5000 0.0000
S 0.0000 0.0000 0.5000
S 0.0000 0.5000 0.0000
S 0.5000 0.0000 0.0000
S 0.5000 0.5000 0.5000

#2
VASP calculation (GGA-PBE) on a relaxed structure of EuS.

Properties
- space-group type = Pm-3m, No. 221

a b c (Å): 3.5826 3.5826 3.5826
angles (deg): 90.00 90.00 90.00
Fractional coordinates of all 2 atoms:
Eu 0.0000 0.0000 0.0000
S 0.5000 0.5000 0.5000

Stability summary: most stable #1, least stable #2.

#1
VASP calculation (GGA-PBE) on a relaxed structure of Eu2SiS4.

Properties
- space-group type = P2_1/m, No. 11

a b c (Å): 6.5768 6.6086 8.0945
angles (deg): 90.00 107.93 90.00
Fractional coordinates of all 14 atoms:
Eu 0.2193 0.2500 0.0511
Eu 0.2677 0.2500 0.5677
Eu 0.7323 0.7500 0.4323
Eu 0.7807 0.7500 0.9489
Si 0.2261 0.7500 0.8002
Si 0.7739 0.2500 0.1998
S 0.0100 0.9997 0.7406
S 0.0100 0.5003 0.7406
S 0.3960 0.7500 0.0703
S 0.4190 0.7500 0.6307
S 0.5810 0.2500 0.3693
S 0.6040 0.2500 0.9297
S 0.9900 0.0003 0.2594
S 0.9900 0.4997 0.2594

#2
VASP calculation (GGA-PBE) on a relaxed structure of Eu2SiS4.

Properties
- space-group type = P2_1/m, No. 11

a b c (Å): 7.4008 4.8285 10.3753
angles (deg): 90.00 100.09 90.00
Fractional coordinates of all 14 atoms:
Eu 0.0374 0.2500 0.1795
Eu 0.4486 0.2500 0.8053
Eu 0.5514 0.7500 0.1947
Eu 0.9626 0.7500 0.8205
Si 0.0731 0.7500 0.4968
Si 0.9269 0.2500 0.5032
S 0.1879 0.7500 0.3182
S 0.2581 0.0012 0.0044
S 0.2581 0.4988 0.0044
S 0.2822 0.7500 0.6728
S 0.7178 0.2500 0.3272
S 0.7419 0.5012 0.9956
S 0.7419 0.9988 0.9956
S 0.8121 0.2500 0.6818

Stability summary: most stable #1, least stable #2.

#1
VASP calculation (GGA-PBE) on a relaxed structure of Sm3Eu3S8.

Properties
- space-group type = C2, No. 5

a b c (Å): 7.4165 7.4165 8.5666
angles (deg): 125.13 125.13 70.58
Fractional coordinates of all 14 atoms:
Sm 0.0000 0.0000 0.0000
Sm 0.4974 0.2532 0.1241
Sm 0.7468 0.5026 0.8759
Eu 0.1250 0.3763 0.6245
Eu 0.2467 0.7533 0.5000
Eu 0.6237 0.8750 0.3755
S 0.0189 0.1320 0.7588
S 0.2221 0.6260 0.1014
S 0.3740 0.7779 0.8986
S 0.3747 0.2699 0.3911
S 0.5264 0.1303 0.7577
S 0.7301 0.6253 0.6089
S 0.8680 0.9811 0.2412
S 0.8697 0.4736 0.2423

#2
VASP calculation (GGA-PBE) on a relaxed structure of Sm3Eu3S8.

Properties
- space-group type = C2, No. 5

a b c (Å): 7.4139 7.4139 7.3176
angles (deg): 105.66 105.66 75.01
Fractional coordinates of all 14 atoms:
Sm 0.0000 0.0000 0.0000
Sm 0.3567 0.3116 0.5814
Sm 0.6884 0.6433 0.4186
Eu 0.1485 0.5155 0.0828
Eu 0.4845 0.8515 0.9172
Eu 0.8506 0.1494 0.5000
S 0.9998 0.3339 0.2982
S 0.1486 0.6598 0.7514
S 0.1780 0.1596 0.8030
S 0.3402 0.8514 0.2486
S 0.5022 0.3260 0.2662
S 0.6661 0.0002 0.7018
S 0.6740 0.4978 0.7338
S 0.8404 0.8220 0.1970

Stability summary: most stable #1, least stable #2.

#1
VASP calculation (GGA-PBE) on a relaxed structure of Eu3Sb.

Properties
- space-group type = P4/mmm, No. 123

a b c (Å): 5.0501 5.0501 5.1441
angles (deg): 90.00 90.00 90.00
Fractional coordinates of all 4 atoms:
Eu 0.0000 0.0000 0.0000
Eu 0.0000 0.5000 0.5000
Eu 0.5000 0.0000 0.5000
Sb 0.5000 0.5000 0.0000

#2
VASP calculation (GGA-PBE) on a relaxed structure of Eu3Sb.

Properties
- space-group type = Imm2, No. 44

a b c (Å): 4.3897 11.7616 5.4134
angles (deg): 90.00 90.00 90.00
Fractional coordinates of all 8 atoms:
Eu 0.0000 0.0000 0.0000
Eu 0.0000 0.2103 0.5006
Eu 0.0000 0.7897 0.5006
Eu 0.5000 0.2897 0.0006
Eu 0.5000 0.5000 0.5000
Eu 0.5000 0.7103 0.0006
Sb 0.0000 0.5000 0.9995
Sb 0.5000 0.0000 0.4995

Stability summary: most stable #2, least stable #1.

#1
VASP calculation (GGA-PBE) on a relaxed structure of EuSb3.

Properties
- space-group type = P4/mmm, No. 123

a b c (Å): 4.8226 4.8226 4.8307
angles (deg): 90.00 90.00 90.00
Fractional coordinates of all 4 atoms:
Eu 0.0000 0.0000 0.0000
Sb 0.0000 0.5000 0.5000
Sb 0.5000 0.0000 0.5000
Sb 0.5000 0.5000 0.0000

#2
VASP calculation (GGA-PBE) on a relaxed structure of EuSb3.

Properties
- space-group type = I4/mmm, No. 139

a b c (Å): 4.5616 4.5616 10.8712
angles (deg): 90.00 90.00 90.00
Fractional coordinates of all 8 atoms:
Eu 0.0000 0.0000 0.0000
Eu 0.5000 0.5000 0.5000
Sb 0.0000 0.0000 0.5000
Sb 0.0000 0.5000 0.2500
Sb 0.0000 0.5000 0.7500
Sb 0.5000 0.0000 0.2500
Sb 0.5000 0.0000 0.7500
Sb 0.5000 0.5000 0.0000

Stability summary: most stable #1, least stable #2.

#1
VASP calculation (GGA-PBE) on a relaxed structure of EuScSb2.

Properties
- space-group type = P4/mmm, No. 123

a b c (Å): 3.6337 3.6337 8.1314
angles (deg): 90.00 90.00 90.00
Fractional coordinates of all 4 atoms:
Eu 0.0000 0.0000 0.0000
Sc 0.0000 0.0000 0.5000
Sb 0.5000 0.5000 0.2773
Sb 0.5000 0.5000 0.7227

#2
VASP calculation (GGA-PBE) on a relaxed structure of EuScSb2.

Properties
- space-group type = R-3m, No. 166

a b c (Å): 4.3487 4.3487 21.6409
angles (deg): 90.00 90.00 120.00
Fractional coordinates of all 12 atoms:
Eu 0.0000 0.0000 0.0000
Eu 0.3333 0.6667 0.6667
Eu 0.6667 0.3333 0.3333
Sc 0.0000 0.0000 0.5000
Sc 0.3333 0.6667 0.1667
Sc 0.6667 0.3333 0.8333
Sb 0.0000 0.0000 0.2401
Sb 0.0000 0.0000 0.7599
Sb 0.3333 0.6667 0.4266
Sb 0.3333 0.6667 0.9067
Sb 0.6667 0.3333 0.0933
Sb 0.6667 0.3333 0.5734

Stability summary: most stable #2, least stable #1.

#1
VASP calculation (GGA-PBE) on a relaxed structure of Eu2SbSe.

Properties
- space-group type = R-3m, No. 166

a b c (Å): 4.3787 4.3787 22.6443
angles (deg): 90.00 90.00 120.00
Fractional coordinates of all 12 atoms:
Eu 0.0000 0.0000 0.2447
Eu 0.0000 0.0000 0.7553
Eu 0.3333 0.6667 0.4219
Eu 0.3333 0.6667 0.9114
Eu 0.6667 0.3333 0.0886
Eu 0.6667 0.3333 0.5781
Sb 0.0000 0.0000 0.0000
Sb 0.3333 0.6667 0.6667
Sb 0.6667 0.3333 0.3333
Se 0.0000 0.0000 0.5000
Se 0.3333 0.6667 0.1667
Se 0.6667 0.3333 0.8333

#2
VASP calculation (GGA-PBE) on a relaxed structure of Eu2SbSe.

Properties
- space-group type = P4/mmm, No. 123

a b c (Å): 3.7387 3.7387 8.0563
angles (deg): 90.00 90.00 90.00
Fractional coordinates of all 4 atoms:
Eu 0.0000 0.0000 0.2295
Eu 0.0000 0.0000 0.7705
Sb 0.5000 0.5000 0.5000
Se 0.5000 0.5000 0.0000

Stability summary: most stable #1, least stable #2.

#1
VASP calculation (GGA-PBE) on a relaxed structure of SmEuSb2.

Properties
- space-group type = P4/mmm, No. 123

a b c (Å): 5.8396 5.8396 3.4133
angles (deg): 90.00 90.00 90.00
Fractional coordinates of all 4 atoms:
Sm 0.0000 0.0000 0.0000
Eu 0.5000 0.5000 0.0000
Sb 0.0000 0.5000 0.5000
Sb 0.5000 0.0000 0.5000

#2
VASP calculation (GGA-PBE) on a relaxed structure of SmEuSb2.

Properties
- space-group type = R-3m, No. 166

a b c (Å): 4.5012 4.5012 22.4588
angles (deg): 90.00 90.00 120.00
Fractional coordinates of all 12 atoms:
Sm 0.0000 0.0000 0.0000
Sm 0.3333 0.6667 0.6667
Sm 0.6667 0.3333 0.3333
Eu 0.0000 0.0000 0.5000
Eu 0.3333 0.6667 0.1667
Eu 0.6667 0.3333 0.8333
Sb 0.0000 0.0000 0.2526
Sb 0.0000 0.0000 0.7474
Sb 0.3333 0.6667 0.4141
Sb 0.3333 0.6667 0.9192
Sb 0.6667 0.3333 0.0808
Sb 0.6667 0.3333 0.5859

Stability summary: most stable #2, least stable #1.

#1
VASP calculation (GGA-PBE) on a relaxed structure of EuSn2Sb.

Properties
- space-group type = R-3m, No. 166

a b c (Å): 5.2381 5.2381 15.5395
angles (deg): 90.00 90.00 120.00
Fractional coordinates of all 12 atoms:
Eu 0.0000 0.0000 0.0000
Eu 0.3333 0.6667 0.6667
Eu 0.6667 0.3333 0.3333
Sn 0.0000 0.0000 0.2201
Sn 0.0000 0.0000 0.7799
Sn 0.3333 0.6667 0.4466
Sn 0.3333 0.6667 0.8867
Sn 0.6667 0.3333 0.1133
Sn 0.6667 0.3333 0.5534
Sb 0.0000 0.0000 0.5000
Sb 0.3333 0.6667 0.1667
Sb 0.6667 0.3333 0.8333

#2
VASP calculation (GGA-PBE) on a relaxed structure of EuSn2Sb.

Properties
- space-group type = P4/mmm, No. 123

a b c (Å): 4.7050 4.7050 5.0070
angles (deg): 90.00 90.00 90.00
Fractional coordinates of all 4 atoms:
Eu 0.0000 0.0000 0.0000
Sn 0.0000 0.5000 0.5000
Sn 0.5000 0.0000 0.5000
Sb 0.5000 0.5000 0.0000

Stability summary: most stable #2, least stable #1.

#1
VASP calculation (GGA-PBE) on a relaxed structure of Sr2EuSb.

Properties
- space-group type = P4/mmm, No. 123

a b c (Å): 4.4877 4.4877 7.6015
angles (deg): 90.00 90.00 90.00
Fractional coordinates of all 4 atoms:
Sr 0.0000 0.0000 0.2154
Sr 0.0000 0.0000 0.7846
Eu 0.5000 0.5000 0.5000
Sb 0.5000 0.5000 0.0000

#2
VASP calculation (GGA-PBE) on a relaxed structure of Sr2EuSb.

Properties
- space-group type = Fm-3m, No. 225

a b c (Å): 8.4401 8.4401 8.4401
angles (deg): 90.00 90.00 90.00
Fractional coordinates of all 16 atoms:
Sr 0.2500 0.2500 0.2500
Sr 0.2500 0.2500 0.7500
Sr 0.2500 0.7500 0.2500
Sr 0.2500 0.7500 0.7500
Sr 0.7500 0.2500 0.2500
Sr 0.7500 0.2500 0.7500
Sr 0.7500 0.7500 0.2500
Sr 0.7500 0.7500 0.7500
Eu 0.0000 0.0000 0.0000
Eu 0.0000 0.5000 0.5000
Eu 0.5000 0.0000 0.5000
Eu 0.5000 0.5000 0.0000
Sb 0.0000 0.0000 0.5000
Sb 0.0000 0.5000 0.0000
Sb 0.5000 0.0000 0.0000
Sb 0.5000 0.5000 0.5000

Stability summary: most stable #1, least stable #2.

#1
VASP calculation (GGA-PBE) on a relaxed structure of SrEuSb.

Properties
- space-group type = P3m1, No. 156

a b c (Å): 5.2554 5.2554 4.9467
angles (deg): 90.00 90.00 120.00
Fractional coordinates of all 3 atoms:
Sr 0.0000 0.0000 0.0000
Eu 0.6667 0.3333 0.5085
Sb 0.3333 0.6667 0.3351

#2
VASP calculation (GGA-PBE) on a relaxed structure of SrEuSb.

Properties
- space-group type = I4mm, No. 107

a b c (Å): 4.3578 4.3578 10.7411
angles (deg): 90.00 90.00 90.00
Fractional coordinates of all 6 atoms:
Sr 0.0000 0.0000 0.0000
Sr 0.5000 0.5000 0.5000
Eu 0.0000 0.0000 0.7025
Eu 0.5000 0.5000 0.2025
Sb 0.0000 0.0000 0.3439
Sb 0.5000 0.5000 0.8439

#3
VASP calculation (GGA-PBE) on a relaxed structure of SrEuSb.

Properties
- space-group type = F-43m, No. 216

a b c (Å): 7.7761 7.7761 7.7761
angles (deg): 90.00 90.00 90.00
Fractional coordinates of all 12 atoms:
Sr 0.0000 0.0000 0.0000
Sr 0.0000 0.5000 0.5000
Sr 0.5000 0.0000 0.5000
Sr 0.5000 0.5000 0.0000
Eu 0.0000 0.0000 0.5000
Eu 0.0000 0.5000 0.0000
Eu 0.5000 0.0000 0.0000
Eu 0.5000 0.5000 0.5000
Sb 0.2500 0.2500 0.2500
Sb 0.2500 0.7500 0.7500
Sb 0.7500 0.2500 0.7500
Sb 0.7500 0.7500 0.2500

Stability summary: most stable #3, least stable #1.

#1
VASP calculation (GGA-PBE) on a relaxed structure of TbEuSb2.

Properties
- space-group type = P4/mmm, No. 123

a b c (Å): 5.7975 5.7975 3.3919
angles (deg): 90.00 90.00 90.00
Fractional coordinates of all 4 atoms:
Tb 0.0000 0.0000 0.0000
Eu 0.5000 0.5000 0.0000
Sb 0.0000 0.5000 0.5000
Sb 0.5000 0.0000 0.5000

#2
VASP calculation (GGA-PBE) on a relaxed structure of TbEuSb2.

Properties
- space-group type = R-3m, No. 166

a b c (Å): 4.4618 4.4618 22.3362
angles (deg): 90.00 90.00 120.00
Fractional coordinates of all 12 atoms:
Tb 0.0000 0.0000 0.0000
Tb 0.3333 0.6667 0.6667
Tb 0.6667 0.3333 0.3333
Eu 0.0000 0.0000 0.5000
Eu 0.3333 0.6667 0.1667
Eu 0.6667 0.3333 0.8333
Sb 0.0000 0.0000 0.2541
Sb 0.0000 0.0000 0.7459
Sb 0.3333 0.6667 0.4126
Sb 0.3333 0.6667 0.9207
Sb 0.6667 0.3333 0.0793
Sb 0.6667 0.3333 0.5874

Stability summary: most stable #2, least stable #1.

#1
VASP calculation (GGA-PBE) on a relaxed structure of EuTiSb2.

Properties
- space-group type = R-3m, No. 166

a b c (Å): 4.1598 4.1598 21.7579
angles (deg): 90.00 90.00 120.00
Fractional coordinates of all 12 atoms:
Eu 0.0000 0.0000 0.0000
Eu 0.3333 0.6667 0.6667
Eu 0.6667 0.3333 0.3333
Ti 0.0000 0.0000 0.5000
Ti 0.3333 0.6667 0.1667
Ti 0.6667 0.3333 0.8333
Sb 0.0000 0.0000 0.2361
Sb 0.0000 0.0000 0.7639
Sb 0.3333 0.6667 0.4305
Sb 0.3333 0.6667 0.9028
Sb 0.6667 0.3333 0.0972
Sb 0.6667 0.3333 0.5695

#2
VASP calculation (GGA-PBE) on a relaxed structure of EuTiSb2.

Properties
- space-group type = P4/mmm, No. 123

a b c (Å): 3.5329 3.5329 7.9426
angles (deg): 90.00 90.00 90.00
Fractional coordinates of all 4 atoms:
Eu 0.0000 0.0000 0.0000
Ti 0.0000 0.0000 0.5000
Sb 0.5000 0.5000 0.2912
Sb 0.5000 0.5000 0.7088

Stability summary: most stable #1, least stable #2.